Below is crystalline TlTcCl2 at its relaxed geometry, with properties calculated at the GGA-PBEsol level.

Its final energy is -18.51 eV per formula unit. The calculation puts the uncorrected formation energy at -0.15 eV/atom. The volume comes out at 180 Å³/cell.

The space group is Amm2 (No. 38) and the conventional cell measures 3.151, 4.592 and 12.469 Å, with angles of 90.00, 90.00 and 90.00 degrees. The distinct sites, in fractional coordinates, are Tl at (0.000, 0.000, 0.000), Tc at (0.500, 0.000, 0.529), Cl at (0.000, 0.000, 0.669) and Cl at (0.500, 0.000, 0.344).

***

Below is crystalline LaTc2Ni2 at its relaxed geometry, with properties calculated at the GGA-PBEsol level.

Its final energy is -39.33 eV per formula unit. The volume comes out at 168 Å³/cell. The formation energy comes out at 0.173 eV per atom.

The space group is I4/mmm (No. 139) and the conventional cell measures 4.126, 4.126 and 9.888 Å, with angles of 90.00, 90.00 and 90.00 degrees. The distinct sites, in fractional coordinates, are La at (0.000, 0.000, 0.000), Tc at (0.000, 0.000, 0.386) and Ni at (0.000, 0.500, 0.250).

***

Below is crystalline InCuHg at its relaxed geometry, with properties calculated at the GGA-PBEsol level.

Its final energy is -7.40 eV per formula unit. The volume comes out at 59 Å³/cell. The formation energy comes out at 0.160 eV per atom.

The space group is P3m1 (No. 156) and the conventional cell measures 4.4008, 4.4008 and 3.5061 Å, with angles of 90.00, 90.00 and 120.00 degrees. The distinct sites, in fractional coordinates, are In at (0.0000, 0.0000, 0.0000), Cu at (0.6667, 0.3333, 0.3206) and Hg at (0.3333, 0.6667, 0.5387).

***

Below is crystalline CaAs2SeN at its relaxed geometry, with properties calculated at the GGA-PBEsol level.

Its final energy is -24.31 eV per formula unit. The calculation puts the uncorrected formation energy at 0.08 eV/atom. The volume comes out at 87 Å³/cell.

The space group is P4/mmm (No. 123) and the conventional cell measures 4.435, 4.435 and 4.444 Å, with angles of 90.00, 90.00 and 90.00 degrees. The distinct sites, in fractional coordinates, are Ca at (0.000, 0.000, 0.000), As at (0.000, 0.500, 0.500), Se at (0.500, 0.500, 0.000) and N at (0.500, 0.500, 0.500).

***

Below is crystalline BaCa3Pd at its relaxed geometry, with properties calculated at the GGA-PBEsol level.

Its final energy is -15.92 eV per formula unit. The volume comes out at 186 Å³/cell. The formation energy comes out at -0.282 eV per atom.

The space group is Pm-3m (No. 221) and the conventional cell measures 5.706, 5.706 and 5.706 Å, with angles of 90.00, 90.00 and 90.00 degrees. The distinct sites, in fractional coordinates, are Ba at (0.000, 0.000, 0.000), Ca at (0.000, 0.500, 0.500) and Pd at (0.500, 0.500, 0.500).

***

Below is crystalline LiMgPb at its relaxed geometry, with properties calculated at the GGA-PBEsol level.

Its final energy is -8.27 eV per formula unit. The volume comes out at 133 Å³/cell. The formation energy comes out at -0.197 eV per atom.

The space group is I4mm (No. 107) and the conventional cell measures 3.897, 3.897 and 8.762 Å, with angles of 90.00, 90.00 and 90.00 degrees. The distinct sites, in fractional coordinates, are Li at (0.000, 0.000, 0.000), Mg at (0.000, 0.000, 0.671) and Pb at (0.000, 0.000, 0.332).

***

Below is crystalline YRe2Mo at its relaxed geometry, with properties calculated at the GGA-PBEsol level.

Its final energy is -43.31 eV per formula unit. The volume comes out at 203 Å³/cell. The formation energy comes out at 0.486 eV per atom.

The space group is R3m (No. 160, hexagonal axes) and the conventional cell measures 2.8360, 2.8360 and 29.1294 Å, with angles of 90.00, 90.00 and 120.00 degrees. The distinct sites, in fractional coordinates, are Y at (0.0000, 0.0000, 0.0000), Re at (0.0000, 0.0000, 0.4965), Re at (0.0000, 0.0000, 0.7578) and Mo at (0.0000, 0.0000, 0.2395).

***

Below is crystalline Ca2As2I at its relaxed geometry, with properties calculated at the GGA-PBEsol level.

Its final energy is -20.84 eV per formula unit. The calculation puts the uncorrected formation energy at -0.92 eV/atom. The volume comes out at 282 Å³/cell.

The space group is I4/mmm (No. 139) and the conventional cell measures 5.512, 5.512 and 9.276 Å, with angles of 90.00, 90.00 and 90.00 degrees. The distinct sites, in fractional coordinates, are Ca at (0.000, 0.500, 0.250), As at (0.000, 0.000, 0.127) and I at (0.000, 0.000, 0.500).